# CdBr3 PBEsol optimized geometry
# Crystal system = orthorhombic
# Volume = 214.6 Å³/cell
# Calculated total energy = -16.79 eV/cell
# Magnetization = 0.00 μB/f.u.
# ΔE_f (raw) = -0.3973 eV per atom
data_CdBr3
_space_group_name_H-M_alt 'C m m m'
_space_group_IT_number 65
_space_group_name_Hall '-C 2 2'
_cell_length_a 5.456
_cell_length_b 9.750
_cell_length_c 4.035
_cell_angle_alpha 90.00
_cell_angle_beta 90.00
_cell_angle_gamma 90.00
loop_
_atom_site_label
_atom_site_fract_x
_atom_site_fract_y
_atom_site_fract_z
Cd1 0.000 0.000 0.000
Br1 0.000 0.207 0.500
Br2 0.000 0.500 0.000